ZrRePt2: optimized geometry, PBE.

- total DFT energy (no corrections) (eV per atom) = -8.758
- energy of formation from the pure elements (eV/atom) = -0.488
- DOS(E_F) (states/eV per cell) = 2.5
- space group = Cmmm (65)

Cell lengths 4.988, 4.988, 2.826 Å; angles 90.00, 90.00, 111.03 degrees
Positions (direct):
1 Zr 0.000 0.500 0.500
2 Pt 0.000 0.000 0.000
3 Pt 0.500 0.500 0.000
4 Re 0.500 0.000 0.500